1.
First-principles (PBE-GGA) data for crystalline BiPd2F8 at its relaxed geometry, as listed in Alexandria via LeMat-Bulk.

Cell lengths 6.1006, 6.1006, 4.9992 Å; angles 92.39, 92.39, 72.42 degrees
Fractional coordinates of all 11 atoms:
Bi 0.0000 0.0000 0.0000
Pd 0.3841 0.3841 0.7448
Pd 0.6159 0.6159 0.2552
F 0.1075 0.6653 0.7493
F 0.1799 0.1799 0.7357
F 0.3347 0.8925 0.2507
F 0.4148 0.4148 0.2493
F 0.5852 0.5852 0.7507
F 0.6653 0.1075 0.7493
F 0.8201 0.8201 0.2643
F 0.8925 0.3347 0.2507

Calculated values
space-group type: C2/m (12)
formation energy (no corrections): -1616 meV/atom
energy: -4.274 eV per atom
magnetization: 0.599 Bohr magnetons per cell

---

2.
First-principles (PBE-GGA) data for crystalline Bi2PdF at its relaxed geometry, as listed in Alexandria via LeMat-Bulk.

Cell lengths 8.5955, 8.5955, 8.5955 Å; angles 145.97, 145.97, 48.90 degrees
Fractional coordinates of all 8 atoms:
Bi 0.0887 0.6250 0.9637
Bi 0.3750 0.3387 0.4637
Bi 0.6613 0.1250 0.0363
Bi 0.8750 0.9113 0.5363
Pd 0.2500 0.7500 0.5000
Pd 0.5000 0.5000 0.0000
F 0.0000 0.0000 0.0000
F 0.7500 0.2500 0.5000

Calculated values
space-group type: I-42d (122)
E above lowest polymorph: 196.5 meV per atom
formation energy (no corrections): -562 meV/atom
energy: -4.268 eV per atom
magnetization: 0.000 Bohr magnetons per cell

---

> Look up the energy of the second one.

-4.268 eV per atom

---

> Look up the formation energy (no corrections) of the first one.

-1616 meV/atom

---

> What is the formation energy (no corrections) in the first record?

-1616 meV/atom